Entry 1:
Compound: KSnCl2F
Source: Alexandria via LeMat-Bulk
Functional: PBE-GGA
Structure: optimized geometry

Unit cell a=4.1453 b=8.9240 c=7.7098 alpha=107.44 beta=90.00 gamma=90.00
Fractional coordinates of all 10 atoms:
K  0.2500  0.6065  0.3206
K  0.7500  0.3935  0.6794
Sn  0.2500  0.8227  0.8515
Sn  0.7500  0.1773  0.1485
Cl  0.7500  0.8531  0.6179
Cl  0.7500  0.7062  0.0377
Cl  0.2500  0.1469  0.3821
Cl  0.2500  0.2938  0.9623
F  0.2500  0.5914  0.6804
F  0.7500  0.4086  0.3196

Calculated values
Energy = -39.31 eV for the cell shown
Fermi-level density of states = 0.00 states/eV/cell
Formation energy (no corrections) = -1.798 eV per atom
M_tot = 0.000 μB per atom
Energy above the most stable polymorph in this dataset = 0.00 eV/f.u.

=====

Entry 2:
Compound: Y2InGe
Source: Alexandria via LeMat-Bulk
Functional: PBE-GGA
Structure: optimized geometry

Unit cell a=4.1201 b=6.0354 c=8.9447 alpha=112.28 beta=90.00 gamma=90.00
Fractional coordinates of all 8 atoms:
Y  0.7500  0.2177  0.4396
Y  0.2500  0.7823  0.5604
Y  0.2500  0.7707  0.0824
Y  0.7500  0.2293  0.9176
In  0.2500  0.3269  0.2056
In  0.7500  0.6731  0.7944
Ge  0.7500  0.6730  0.2968
Ge  0.2500  0.3270  0.7032

Calculated values
Energy = -46.09 eV for the cell shown
Fermi-level density of states = 6.55 states/eV/cell
M_tot = 0.000 μB per atom
Formation energy from the elements = -2.76 eV per formula unit